Compound: MgZrTl
Source: the Alexandria database
Functional: GGA-PBE
Structure: relaxed

Unit cell a=3.295 b=3.295 c=12.646 alpha=90.00 beta=90.00 gamma=90.00
Space group I4mm (No. 107)
Symmetry-distinct sites (fractional):
Mg 0.000 0.000 0.000 (multiplicity 2)
Zr 0.000 0.000 0.333 (multiplicity 2)
Tl 0.000 0.000 0.662 (multiplicity 2)

Calculated values
Crystal system ... tetragonal
DFT formation energy ... 0.17 kcal/mol of atoms
Fermi-level density of states ... 0.683 states/eV/atom
Total magnetic moment ... 0.0 μB/cell